# PBE SrCuBiO4, relaxed
data_SrCuBiO4
_cell_length_a 5.591
_cell_length_b 5.640
_cell_length_c 7.661
_cell_angle_alpha 90.00
_cell_angle_beta 120.25
_cell_angle_gamma 90.00
_symmetry_space_group_name_H-M 'P 1'
_symmetry_Int_Tables_number 1
loop_
_symmetry_equiv_pos_as_xyz
'x,y,z'
loop_
_atom_site_label
_atom_site_type_symbol
_atom_site_fract_x
_atom_site_fract_y
_atom_site_fract_z
_atom_site_occupancy
Sr1 Sr 0.547 0.750 0.892 1
Sr2 Sr 0.453 0.250 0.108 1
Cu1 Cu 0.147 0.750 0.256 1
Cu2 Cu 0.853 0.250 0.744 1
Bi1 Bi 0.780 0.750 0.470 1
Bi2 Bi 0.220 0.250 0.530 1
O1 O 0.085 0.492 0.710 1
O2 O 0.915 0.992 0.290 1
O3 O 0.915 0.508 0.290 1
O4 O 0.085 0.008 0.710 1
O5 O 0.395 0.750 0.158 1
O6 O 0.605 0.250 0.842 1
O7 O 0.472 0.750 0.558 1
O8 O 0.528 0.250 0.442 1
# * space-group type: No. 11



# PBE SrCu3Bi4O12, relaxed
data_SrCu3Bi4O12
_cell_length_a 7.130
_cell_length_b 7.130
_cell_length_c 7.130
_cell_angle_alpha 109.47
_cell_angle_beta 109.47
_cell_angle_gamma 109.47
_symmetry_space_group_name_H-M 'P 1'
_symmetry_Int_Tables_number 1
loop_
_symmetry_equiv_pos_as_xyz
'x,y,z'
loop_
_atom_site_label
_atom_site_type_symbol
_atom_site_fract_x
_atom_site_fract_y
_atom_site_fract_z
_atom_site_occupancy
Sr1 Sr 0.000 0.000 0.000 1
Cu1 Cu 0.000 0.500 0.500 1
Cu2 Cu 0.500 0.500 0.000 1
Cu3 Cu 0.500 0.000 0.500 1
Bi1 Bi 0.500 0.000 0.000 1
Bi2 Bi 0.500 0.500 0.500 1
Bi3 Bi 0.000 0.500 0.000 1
Bi4 Bi 0.000 0.000 0.500 1
O1 O 0.322 0.845 0.168 1
O2 O 0.678 0.155 0.832 1
O3 O 0.678 0.845 0.523 1
O4 O 0.832 0.678 0.155 1
O5 O 0.845 0.168 0.322 1
O6 O 0.155 0.477 0.322 1
O7 O 0.477 0.322 0.155 1
O8 O 0.155 0.832 0.678 1
O9 O 0.322 0.155 0.477 1
O10 O 0.168 0.322 0.845 1
O11 O 0.845 0.523 0.678 1
O12 O 0.523 0.678 0.845 1
# * space-group type: No. 204



# PBE Sr2TbCu2Bi2O8, relaxed
data_Sr2TbCu2Bi2O8
_cell_length_a 15.610
_cell_length_b 15.610
_cell_length_c 15.610
_cell_angle_alpha 166.04
_cell_angle_beta 166.04
_cell_angle_gamma 19.80
_symmetry_space_group_name_H-M 'P 1'
_symmetry_Int_Tables_number 1
loop_
_symmetry_equiv_pos_as_xyz
'x,y,z'
loop_
_atom_site_label
_atom_site_type_symbol
_atom_site_fract_x
_atom_site_fract_y
_atom_site_fract_z
_atom_site_occupancy
Sr1 Sr 0.114 0.114 0.000 1
Sr2 Sr 0.886 0.886 0.000 1
Cu1 Cu 0.448 0.448 0.000 1
Cu2 Cu 0.552 0.552 0.000 1
Tb1 Tb 0.000 0.000 0.000 1
Bi1 Bi 0.297 0.297 0.000 1
Bi2 Bi 0.703 0.703 0.000 1
O1 O 0.549 0.049 0.500 1
O2 O 0.451 0.951 0.500 1
O3 O 0.049 0.549 0.500 1
O4 O 0.951 0.451 0.500 1
O5 O 0.201 0.201 0.000 1
O6 O 0.799 0.799 0.000 1
O7 O 0.366 0.366 0.000 1
O8 O 0.634 0.634 0.000 1
# * space-group type: No. 139



# PBE Sr2TmCu2Bi2O8, relaxed
data_Sr2TmCu2Bi2O8
_cell_length_a 15.564
_cell_length_b 15.564
_cell_length_c 15.564
_cell_angle_alpha 166.06
_cell_angle_beta 166.06
_cell_angle_gamma 19.77
_symmetry_space_group_name_H-M 'P 1'
_symmetry_Int_Tables_number 1
loop_
_symmetry_equiv_pos_as_xyz
'x,y,z'
loop_
_atom_site_label
_atom_site_type_symbol
_atom_site_fract_x
_atom_site_fract_y
_atom_site_fract_z
_atom_site_occupancy
Sr1 Sr 0.113 0.113 0.000 1
Sr2 Sr 0.887 0.887 0.000 1
Tm1 Tm 0.000 0.000 0.000 1
Bi1 Bi 0.297 0.297 0.000 1
Bi2 Bi 0.703 0.703 0.000 1
O1 O 0.547 0.047 0.500 1
O2 O 0.453 0.953 0.500 1
O3 O 0.047 0.547 0.500 1
O4 O 0.953 0.453 0.500 1
O5 O 0.200 0.200 0.000 1
O6 O 0.800 0.800 0.000 1
O7 O 0.367 0.367 0.000 1
O8 O 0.633 0.633 0.000 1
Cu1 Cu 0.449 0.449 0.000 1
Cu2 Cu 0.551 0.551 0.000 1
# * space-group type: No. 139



# PBE Sr2YCu2BiO7, relaxed
data_Sr2YCu2BiO7
_cell_length_a 13.210
_cell_length_b 13.210
_cell_length_c 13.210
_cell_angle_alpha 156.42
_cell_angle_beta 156.30
_cell_angle_gamma 33.68
_symmetry_space_group_name_H-M 'P 1'
_symmetry_Int_Tables_number 1
loop_
_symmetry_equiv_pos_as_xyz
'x,y,z'
loop_
_atom_site_label
_atom_site_type_symbol
_atom_site_fract_x
_atom_site_fract_y
_atom_site_fract_z
_atom_site_occupancy
Y1 Y 0.000 0.020 0.020 1
Y2 Y 0.500 0.520 0.020 1
Sr1 Sr 0.633 0.663 0.017 1
Sr2 Sr 0.367 0.384 0.030 1
Sr3 Sr 0.145 0.163 0.030 1
Sr4 Sr 0.855 0.884 0.017 1
O1 O 0.659 0.838 0.997 1
O2 O 0.341 0.338 0.178 1
O3 O 0.802 0.823 0.508 1
O4 O 0.198 0.706 0.020 1
O5 O 0.814 0.323 0.020 1
O6 O 0.186 0.206 0.508 1
O7 O 0.314 0.334 0.532 1
O8 O 0.686 0.218 0.020 1
O9 O 0.302 0.834 0.020 1
O10 O 0.698 0.718 0.532 1
O11 O 0.168 0.677 0.525 1
O12 O 0.832 0.357 0.509 1
O13 O 0.652 0.177 0.509 1
O14 O 0.348 0.857 0.525 1
Bi1 Bi 0.262 0.745 0.507 1
Bi2 Bi 0.738 0.245 0.483 1
Cu1 Cu 0.567 0.087 0.521 1
Cu2 Cu 0.433 0.954 0.520 1
Cu3 Cu 0.066 0.587 0.520 1
Cu4 Cu 0.934 0.454 0.521 1
# * space-group type: No. 46



# PBE Sr2YbCu2Bi2O8, relaxed
data_Sr2YbCu2Bi2O8
_cell_length_a 15.789
_cell_length_b 15.789
_cell_length_c 15.789
_cell_angle_alpha 166.27
_cell_angle_beta 166.27
_cell_angle_gamma 19.46
_symmetry_space_group_name_H-M 'P 1'
_symmetry_Int_Tables_number 1
loop_
_symmetry_equiv_pos_as_xyz
'x,y,z'
loop_
_atom_site_label
_atom_site_type_symbol
_atom_site_fract_x
_atom_site_fract_y
_atom_site_fract_z
_atom_site_occupancy
Sr1 Sr 0.111 0.111 0.000 1
Sr2 Sr 0.889 0.889 0.000 1
Yb1 Yb 0.000 0.000 0.000 1
Bi1 Bi 0.299 0.299 0.000 1
Bi2 Bi 0.701 0.701 0.000 1
O1 O 0.550 0.050 0.500 1
O2 O 0.450 0.950 0.500 1
O3 O 0.050 0.550 0.500 1
O4 O 0.950 0.450 0.500 1
O5 O 0.200 0.200 0.000 1
O6 O 0.800 0.800 0.000 1
O7 O 0.366 0.366 0.000 1
O8 O 0.634 0.634 0.000 1
Cu1 Cu 0.450 0.450 0.000 1
Cu2 Cu 0.550 0.550 0.000 1
# * space-group type: No. 139
# * relative energy among the computed polymorphs: 0.037 eV per atom



# PBE Sr2YbCu2Bi2O8, relaxed
data_Sr2YbCu2Bi2O8
_cell_length_a 15.689
_cell_length_b 15.689
_cell_length_c 5.314
_cell_angle_alpha 90.00
_cell_angle_beta 90.00
_cell_angle_gamma 159.81
_symmetry_space_group_name_H-M 'P 1'
_symmetry_Int_Tables_number 1
loop_
_symmetry_equiv_pos_as_xyz
'x,y,z'
loop_
_atom_site_label
_atom_site_type_symbol
_atom_site_fract_x
_atom_site_fract_y
_atom_site_fract_z
_atom_site_occupancy
Sr1 Sr 0.607 0.885 0.000 1
Sr2 Sr 0.393 0.115 0.000 1
Sr3 Sr 0.115 0.393 0.500 1
Sr4 Sr 0.885 0.607 0.500 1
Yb1 Yb 0.500 0.000 0.000 1
Yb2 Yb 0.000 0.500 0.500 1
Cu1 Cu 0.050 0.450 0.000 1
Cu2 Cu 0.950 0.550 0.000 1
Cu3 Cu 0.550 0.950 0.500 1
Cu4 Cu 0.450 0.050 0.500 1
Bi1 Bi 0.183 0.279 0.000 1
Bi2 Bi 0.817 0.721 0.000 1
Bi3 Bi 0.721 0.817 0.500 1
Bi4 Bi 0.279 0.183 0.500 1
O1 O 0.160 0.391 0.000 1
O2 O 0.840 0.609 0.000 1
O3 O 0.609 0.840 0.500 1
O4 O 0.391 0.160 0.500 1
O5 O 0.701 0.299 0.250 1
O6 O 0.299 0.701 0.750 1
O7 O 0.299 0.701 0.250 1
O8 O 0.701 0.299 0.750 1
O9 O 0.787 0.889 0.000 1
O10 O 0.213 0.111 0.000 1
O11 O 0.111 0.213 0.500 1
O12 O 0.889 0.787 0.500 1
O13 O 0.801 0.199 0.250 1
O14 O 0.199 0.801 0.750 1
O15 O 0.199 0.801 0.250 1
O16 O 0.801 0.199 0.750 1
# * space-group type: No. 66
# * relative energy among the computed polymorphs: 0.000 eV per atom



# PBE TaCuBiO5, relaxed
data_TaCuBiO5
_cell_length_a 5.737
_cell_length_b 5.737
_cell_length_c 7.640
_cell_angle_alpha 102.05
_cell_angle_beta 102.05
_cell_angle_gamma 111.57
_symmetry_space_group_name_H-M 'P 1'
_symmetry_Int_Tables_number 1
loop_
_symmetry_equiv_pos_as_xyz
'x,y,z'
loop_
_atom_site_label
_atom_site_type_symbol
_atom_site_fract_x
_atom_site_fract_y
_atom_site_fract_z
_atom_site_occupancy
Ta1 Ta 0.000 0.000 0.500 1
Ta2 Ta 0.000 0.000 0.000 1
Cu1 Cu 0.671 0.329 0.250 1
Cu2 Cu 0.329 0.671 0.750 1
Bi1 Bi 0.326 0.674 0.250 1
Bi2 Bi 0.674 0.326 0.750 1
O1 O 0.056 0.944 0.250 1
O2 O 0.944 0.056 0.750 1
O3 O 0.854 0.264 0.072 1
O4 O 0.146 0.736 0.928 1
O5 O 0.736 0.146 0.428 1
O6 O 0.264 0.854 0.572 1
O7 O 0.692 0.648 0.415 1
O8 O 0.308 0.352 0.585 1
O9 O 0.352 0.308 0.085 1
O10 O 0.648 0.692 0.915 1
# * space-group type: No. 15



# PBE Cu2BiTeO6, relaxed
data_Cu2BiTeO6
_cell_length_a 5.842
_cell_length_b 6.744
_cell_length_c 6.744
_cell_angle_alpha 97.35
_cell_angle_beta 85.20
_cell_angle_gamma 85.20
_symmetry_space_group_name_H-M 'P 1'
_symmetry_Int_Tables_number 1
loop_
_symmetry_equiv_pos_as_xyz
'x,y,z'
loop_
_atom_site_label
_atom_site_type_symbol
_atom_site_fract_x
_atom_site_fract_y
_atom_site_fract_z
_atom_site_occupancy
Cu1 Cu 0.185 0.741 0.561 1
Cu2 Cu 0.315 0.439 0.259 1
Cu3 Cu 0.815 0.259 0.439 1
Cu4 Cu 0.685 0.561 0.741 1
Bi1 Bi 0.250 0.896 0.104 1
Bi2 Bi 0.750 0.104 0.896 1
Te1 Te 0.250 0.277 0.723 1
Te2 Te 0.750 0.723 0.277 1
O1 O 0.138 0.004 0.751 1
O2 O 0.362 0.249 0.996 1
O3 O 0.862 0.996 0.249 1
O4 O 0.638 0.751 0.004 1
O5 O 0.430 0.833 0.375 1
O6 O 0.070 0.625 0.167 1
O7 O 0.570 0.167 0.625 1
O8 O 0.930 0.375 0.833 1
O9 O 0.842 0.732 0.552 1
O10 O 0.658 0.448 0.268 1
O11 O 0.158 0.268 0.448 1
O12 O 0.342 0.552 0.732 1
# * space-group type: No. 15



# PBE CuBiTeO, relaxed
data_CuBiTeO
_cell_length_a 4.054
_cell_length_b 4.054
_cell_length_c 9.697
_cell_angle_alpha 90.00
_cell_angle_beta 90.00
_cell_angle_gamma 90.00
_symmetry_space_group_name_H-M 'P 1'
_symmetry_Int_Tables_number 1
loop_
_symmetry_equiv_pos_as_xyz
'x,y,z'
loop_
_atom_site_label
_atom_site_type_symbol
_atom_site_fract_x
_atom_site_fract_y
_atom_site_fract_z
_atom_site_occupancy
Cu1 Cu 0.000 0.000 0.500 1
Cu2 Cu 0.500 0.500 0.500 1
Bi1 Bi 0.000 0.500 0.873 1
Bi2 Bi 0.500 0.000 0.127 1
Te1 Te 0.000 0.500 0.321 1
Te2 Te 0.500 0.000 0.679 1
O1 O 0.000 0.000 0.000 1
O2 O 0.500 0.500 0.000 1
# * space-group type: No. 129



# PBE CuBi2Te2O, relaxed
data_CuBi2Te2O
_cell_length_a 3.279
_cell_length_b 3.279
_cell_length_c 16.138
_cell_angle_alpha 90.00
_cell_angle_beta 90.00
_cell_angle_gamma 90.00
_symmetry_space_group_name_H-M 'P 1'
_symmetry_Int_Tables_number 1
loop_
_symmetry_equiv_pos_as_xyz
'x,y,z'
loop_
_atom_site_label
_atom_site_type_symbol
_atom_site_fract_x
_atom_site_fract_y
_atom_site_fract_z
_atom_site_occupancy
Cu1 Cu 0.500 0.500 0.000 1
Bi1 Bi 0.500 0.500 0.629 1
Bi2 Bi 0.500 0.500 0.371 1
Te1 Te 0.500 0.500 0.153 1
Te2 Te 0.500 0.500 0.847 1
O1 O 0.500 0.500 0.500 1
# * space-group type: No. 123



# PBE CuBiTeO6, relaxed
data_CuBiTeO6
_cell_length_a 4.873
_cell_length_b 4.873
_cell_length_c 9.758
_cell_angle_alpha 90.00
_cell_angle_beta 90.00
_cell_angle_gamma 90.00
_symmetry_space_group_name_H-M 'P 1'
_symmetry_Int_Tables_number 1
loop_
_symmetry_equiv_pos_as_xyz
'x,y,z'
loop_
_atom_site_label
_atom_site_type_symbol
_atom_site_fract_x
_atom_site_fract_y
_atom_site_fract_z
_atom_site_occupancy
Cu1 Cu 0.500 0.500 0.499 1
Cu2 Cu 0.000 0.000 0.999 1
Bi1 Bi 0.500 0.500 0.169 1
Bi2 Bi 0.000 0.000 0.669 1
Te1 Te 0.500 0.500 0.834 1
Te2 Te 0.000 0.000 0.334 1
O1 O 0.197 0.803 0.485 1
O2 O 0.803 0.197 0.485 1
O3 O 0.303 0.303 0.985 1
O4 O 0.697 0.697 0.985 1
O5 O 0.179 0.821 0.174 1
O6 O 0.821 0.179 0.174 1
O7 O 0.321 0.321 0.674 1
O8 O 0.679 0.679 0.674 1
O9 O 0.787 0.213 0.840 1
O10 O 0.213 0.787 0.840 1
O11 O 0.713 0.713 0.340 1
O12 O 0.287 0.287 0.340 1
# * space-group type: No. 102



# PBE TiCuBiO4, relaxed
data_TiCuBiO4
_cell_length_a 7.117
_cell_length_b 6.305
_cell_length_c 6.119
_cell_angle_alpha 119.03
_cell_angle_beta 90.00
_cell_angle_gamma 124.36
_symmetry_space_group_name_H-M 'P 1'
_symmetry_Int_Tables_number 1
loop_
_symmetry_equiv_pos_as_xyz
'x,y,z'
loop_
_atom_site_label
_atom_site_type_symbol
_atom_site_fract_x
_atom_site_fract_y
_atom_site_fract_z
_atom_site_occupancy
Ti1 Ti 0.500 0.000 0.500 1
Ti2 Ti 0.500 0.000 0.000 1
Cu1 Cu 0.500 0.500 0.500 1
Cu2 Cu 0.000 0.500 0.500 1
Bi1 Bi 0.901 0.802 0.151 1
Bi2 Bi 0.099 0.198 0.849 1
O1 O 0.736 0.472 0.720 1
O2 O 0.314 0.995 0.248 1
O3 O 0.681 0.995 0.248 1
O4 O 0.736 0.472 0.252 1
O5 O 0.264 0.528 0.748 1
O6 O 0.686 0.005 0.752 1
O7 O 0.319 0.005 0.752 1
O8 O 0.264 0.528 0.280 1
# * space-group type: No. 74



# PBE TlCuBiO3, relaxed
data_TlCuBiO3
_cell_length_a 3.940
_cell_length_b 6.794
_cell_length_c 8.268
_cell_angle_alpha 102.44
_cell_angle_beta 90.00
_cell_angle_gamma 106.86
_symmetry_space_group_name_H-M 'P 1'
_symmetry_Int_Tables_number 1
loop_
_symmetry_equiv_pos_as_xyz
'x,y,z'
loop_
_atom_site_label
_atom_site_type_symbol
_atom_site_fract_x
_atom_site_fract_y
_atom_site_fract_z
_atom_site_occupancy
Tl1 Tl 0.348 0.696 0.890 1
Tl2 Tl 0.652 0.304 0.110 1
Cu1 Cu 0.004 0.009 0.293 1
Cu2 Cu 0.996 0.991 0.707 1
Bi1 Bi 0.648 0.296 0.568 1
Bi2 Bi 0.352 0.704 0.432 1
O1 O 0.855 0.710 0.284 1
O2 O 0.844 0.688 0.672 1
O3 O 0.501 0.003 0.322 1
O4 O 0.156 0.312 0.328 1
O5 O 0.499 0.997 0.678 1
O6 O 0.145 0.290 0.716 1
# * space-group type: No. 12



# PBE UCuBi2O6, relaxed
data_UCuBi2O6
_cell_length_a 5.965
_cell_length_b 5.217
_cell_length_c 10.259
_cell_angle_alpha 90.00
_cell_angle_beta 89.57
_cell_angle_gamma 90.00
_symmetry_space_group_name_H-M 'P 1'
_symmetry_Int_Tables_number 1
loop_
_symmetry_equiv_pos_as_xyz
'x,y,z'
loop_
_atom_site_label
_atom_site_type_symbol
_atom_site_fract_x
_atom_site_fract_y
_atom_site_fract_z
_atom_site_occupancy
U1 U 0.000 0.500 0.500 1
U2 U 0.500 0.000 0.000 1
Cu1 Cu 0.000 0.500 0.000 1
Cu2 Cu 0.500 0.000 0.500 1
Bi1 Bi 0.001 0.991 0.200 1
Bi2 Bi 0.499 0.491 0.300 1
Bi3 Bi 0.501 0.509 0.700 1
Bi4 Bi 0.999 0.009 0.800 1
O1 O 0.822 0.281 0.652 1
O2 O 0.810 0.217 0.016 1
O3 O 0.868 0.274 0.344 1
O4 O 0.632 0.774 0.156 1
O5 O 0.690 0.717 0.484 1
O6 O 0.678 0.781 0.848 1
O7 O 0.322 0.219 0.152 1
O8 O 0.310 0.283 0.516 1
O9 O 0.368 0.226 0.844 1
O10 O 0.190 0.783 0.984 1
O11 O 0.132 0.726 0.656 1
O12 O 0.178 0.719 0.348 1
# * space-group type: No. 14



# PBE UCuBi2O8, relaxed
data_UCuBi2O8
_cell_length_a 5.081
_cell_length_b 5.083
_cell_length_c 6.975
_cell_angle_alpha 83.71
_cell_angle_beta 96.21
_cell_angle_gamma 93.42
_symmetry_space_group_name_H-M 'P 1'
_symmetry_Int_Tables_number 1
loop_
_symmetry_equiv_pos_as_xyz
'x,y,z'
loop_
_atom_site_label
_atom_site_type_symbol
_atom_site_fract_x
_atom_site_fract_y
_atom_site_fract_z
_atom_site_occupancy
U1 U 0.000 0.000 0.000 1
Cu1 Cu 0.000 0.000 0.500 1
Bi1 Bi 0.462 0.538 0.735 1
Bi2 Bi 0.538 0.462 0.265 1
O1 O 0.215 0.781 0.192 1
O2 O 0.692 0.695 0.000 1
O3 O 0.852 0.150 0.256 1
O4 O 0.785 0.219 0.808 1
O5 O 0.308 0.305 0.000 1
O6 O 0.148 0.850 0.744 1
O7 O 0.726 0.727 0.500 1
O8 O 0.274 0.273 0.500 1
# * space-group type: No. 2



# PBE UCu2BiO8, relaxed
data_UCu2BiO8
_cell_length_a 5.899
_cell_length_b 5.899
_cell_length_c 5.899
_cell_angle_alpha 110.08
_cell_angle_beta 110.08
_cell_angle_gamma 108.26
_symmetry_space_group_name_H-M 'P 1'
_symmetry_Int_Tables_number 1
loop_
_symmetry_equiv_pos_as_xyz
'x,y,z'
loop_
_atom_site_label
_atom_site_type_symbol
_atom_site_fract_x
_atom_site_fract_y
_atom_site_fract_z
_atom_site_occupancy
U1 U 0.250 0.750 0.500 1
Cu1 Cu 0.750 0.250 0.500 1
Cu2 Cu 0.500 0.500 0.000 1
Bi1 Bi 0.000 0.000 0.000 1
O1 O 0.367 0.044 0.324 1
O2 O 0.299 0.493 0.194 1
O3 O 0.299 0.106 0.806 1
O4 O 0.720 0.044 0.676 1
O5 O 0.894 0.701 0.194 1
O6 O 0.956 0.280 0.324 1
O7 O 0.956 0.633 0.676 1
O8 O 0.507 0.701 0.806 1
# * space-group type: No. 119



no.,ΔE_f (raw) (eV/atom)
1,-1.28
2,-1.07
3,-1.78
4,-1.80
5,-1.94
6,-1.69
7,-1.72
8,-1.68
9,-0.80
10,-0.56
11,-0.09
12,-0.82
13,-1.64
14,-0.80
15,-1.78
16,-1.60
17,-1.27